(1)
This record from Alexandria via LeMat-Bulk describes a relaxed structure of YbPr3. The functional is GGA-PBE.

V	288	Å³/cell
energy relative to the elements	-7	meV per atom
relative energy among the computed polymorphs	6.3	kJ/mol of formula units
total magnetic moment	0.11	μB/cell

```
YbPr3
1.0
7.455 0.000 0.000
-3.728 6.456 0.000
0.000 0.000 5.977
Pr Yb
6 2
Cartesian
3.728 4.315 4.483 Pr
1.855 1.071 4.483 Pr
-1.873 5.386 1.494 Pr
5.601 1.071 4.483 Pr
1.873 5.386 1.494 Pr
0.000 2.141 1.494 Pr
0.000 4.304 4.483 Yb
3.728 2.152 1.494 Yb
```

---

(2)
This record from Alexandria via LeMat-Bulk describes a relaxed structure of YbPr3. The functional is GGA-PBE.

V	142	Å³/cell
energy relative to the elements	-24	meV per atom
relative energy among the computed polymorphs	0.0	kJ/mol of formula units
total magnetic moment	0.11	μB/cell

```
YbPr3
1.0
5.218 0.000 0.000
0.000 5.218 0.000
0.000 0.000 5.218
Pr Yb
3 1
Cartesian
2.609 0.000 2.609 Pr
2.609 2.609 0.000 Pr
0.000 2.609 2.609 Pr
0.000 0.000 0.000 Yb
```